[1]
KTlGe | PBE | optimized geometry

The structure belongs to space group I4mm (No. 107); the cell edges are 3.504, 3.504 and 14.423 Å and the angles 90.00°, 90.00° and 90.00°. The asymmetric unit holds K at (0.000, 0.000, 0.000), Tl at (0.000, 0.000, 0.695) and Ge at (0.000, 0.000, 0.328).

As for the mass density: 5.93 Mg/m³. The energy relative to the elements comes out at 0.16 eV/f.u. The total magnetic moment comes out at 0.00 μB/cell.

[2]
K2TlGe2 | PBE | optimized geometry

The structure belongs to space group I4/mmm (No. 139); the cell edges are 3.773, 3.773 and 23.170 Å and the angles 90.00°, 90.00° and 90.00°. The asymmetric unit holds K at (0.000, 0.000, 0.119), Tl at (0.000, 0.000, 0.500) and Ge at (0.000, 0.500, 0.250).

As for the mass density: 4.31 Mg/m³. The energy relative to the elements comes out at 0.38 eV/f.u. The total magnetic moment comes out at 0.00 μB/cell.

[3]
KTlGe | PBE | optimized geometry

The structure belongs to space group P3m1 (No. 156); the cell edges are 4.6836, 4.6836 and 5.5131 Å and the angles 90.00°, 90.00° and 120.00°. The asymmetric unit holds K at (0.0000, 0.0000, 0.0000), Tl at (0.6667, 0.3333, 0.5284) and Ge at (0.3333, 0.6667, 0.4540).

As for the mass density: 5.01 Mg/m³. The energy relative to the elements comes out at -0.10 eV/f.u. The total magnetic moment comes out at 0.00 μB/cell.

[4]
KTlGe | PBE | optimized geometry

The structure belongs to space group P1 (No. 1); the cell edges are 6.347, 6.353 and 6.453 Å and the angles 61.07°, 60.61° and 62.22°. The asymmetric unit holds K at (0.000, 0.000, 0.000), K at (0.224, 0.223, 0.296), Tl at (0.553, 0.561, 0.686), Tl at (0.588, 0.576, 0.166), Ge at (0.050, 0.673, 0.623) and Ge at (0.668, 0.051, 0.636).

As for the mass density: 5.55 Mg/m³. The energy relative to the elements comes out at 0.12 eV/f.u. The total magnetic moment comes out at 0.00 μB/cell.

[5]
KTlGe4 | PBE | optimized geometry

The structure belongs to space group F-43m (No. 216); the cell edges are 8.259, 8.259 and 8.259 Å and the angles 90.00°, 90.00° and 90.00°. The asymmetric unit holds K at (0.000, 0.000, 0.000), Tl at (0.250, 0.250, 0.750) and Ge at (0.126, 0.126, 0.374).

As for the mass density: 6.30 Mg/m³. The energy relative to the elements comes out at 0.84 eV/f.u. The total magnetic moment comes out at 0.00 μB/cell.

[6]
KTlGe | PBE | optimized geometry

The structure belongs to space group Pm (No. 6); the cell edges are 6.784, 3.970 and 8.149 Å and the angles 90.00°, 111.96° and 90.00°. The asymmetric unit holds K at (0.000, 0.000, 0.000), K at (0.240, 0.000, 0.525), Tl at (0.486, 0.500, 0.941), Tl at (0.782, 0.500, 0.580), Ge at (0.405, 0.500, 0.263) and Ge at (0.660, 0.000, 0.261).

As for the mass density: 5.16 Mg/m³. The energy relative to the elements comes out at -0.23 eV/f.u. The total magnetic moment comes out at 0.00 μB/cell.

[7]
K2TlGe2 | PBE | optimized geometry

The structure belongs to space group P4/mbm (No. 127); the cell edges are 9.927, 9.927 and 3.259 Å and the angles 90.00°, 90.00° and 90.00°. The asymmetric unit holds K at (0.204, 0.296, 0.000), Tl at (0.000, 0.000, 0.000) and Ge at (0.088, 0.588, 0.500).

As for the mass density: 4.42 Mg/m³. The energy relative to the elements comes out at 0.72 eV/f.u. The total magnetic moment comes out at 0.00 μB/cell.

[8]
KTlGe | PBE | optimized geometry

The structure belongs to space group Pm (No. 6); the cell edges are 4.492, 5.000 and 8.618 Å and the angles 90.00°, 90.06° and 90.00°. The asymmetric unit holds K at (0.000, 0.000, 0.000), K at (0.498, 0.500, 0.325), Tl at (0.499, 0.000, 0.680), Tl at (0.999, 0.000, 0.434), Ge at (0.000, 0.500, 0.675) and Ge at (0.501, 0.500, 0.863).

As for the mass density: 5.42 Mg/m³. The energy relative to the elements comes out at -0.19 eV/f.u. The total magnetic moment comes out at 0.00 μB/cell.

[9]
K3TlGe | PBE | optimized geometry

The structure belongs to space group Pm-3m (No. 221); the cell edges are 6.516, 6.516 and 6.516 Å and the angles 90.00°, 90.00° and 90.00°. The asymmetric unit holds K at (0.000, 0.000, 0.500), Tl at (0.500, 0.500, 0.500) and Ge at (0.000, 0.000, 0.000).

As for the mass density: 2.37 Mg/m³. The energy relative to the elements comes out at 1.43 eV/f.u. The total magnetic moment comes out at 0.22 μB/cell.

[10]
K2Tl2Ge | PBE | optimized geometry

The structure belongs to space group P4/mbm (No. 127); the cell edges are 7.822, 7.822 and 5.819 Å and the angles 90.00°, 90.00° and 90.00°. The asymmetric unit holds K at (0.179, 0.321, 0.000), Tl at (0.142, 0.642, 0.500) and Ge at (0.000, 0.000, 0.500).

As for the mass density: 5.22 Mg/m³. The energy relative to the elements comes out at 0.05 eV/f.u. The total magnetic moment comes out at 0.00 μB/cell.

[11]
KTlGe | PBE | optimized geometry

The structure belongs to space group P6_3/mmc (No. 194); the cell edges are 6.2427, 6.2427 and 10.4496 Å and the angles 90.00°, 90.00° and 120.00°. The asymmetric unit holds K at (0.3333, 0.6667, 0.2500), Tl at (0.0000, 0.0000, 0.2500) and Ge at (0.0000, 0.0000, 0.0000).

As for the mass density: 2.98 Mg/m³. The energy relative to the elements comes out at 1.42 eV/f.u. The total magnetic moment comes out at 0.00 μB/cell.

[12]
KTlGe | PBE | optimized geometry

The structure belongs to space group Pnma (No. 62); the cell edges are 11.928, 3.994 and 8.996 Å and the angles 90.00°, 90.00° and 90.00°. The asymmetric unit holds K at (0.224, 0.250, 0.100), Tl at (0.034, 0.250, 0.775) and Ge at (0.066, 0.250, 0.456).

As for the mass density: 4.90 Mg/m³. The energy relative to the elements comes out at -0.11 eV/f.u. The total magnetic moment comes out at 0.00 μB/cell.

[13]
KTlGe | PBE | optimized geometry

The structure belongs to space group P6_3/mmc (No. 194); the cell edges are 4.6971, 4.6971 and 10.9715 Å and the angles 90.00°, 90.00° and 120.00°. The asymmetric unit holds K at (0.0000, 0.0000, 0.0000), Tl at (0.3333, 0.6667, 0.2500) and Ge at (0.3333, 0.6667, 0.7500).

As for the mass density: 5.01 Mg/m³. The energy relative to the elements comes out at 0.01 eV/f.u. The total magnetic moment comes out at 0.00 μB/cell.

[14]
KTl2Ge | PBE | optimized geometry

The structure belongs to space group P4/mmm (No. 123); the cell edges are 3.834, 3.834 and 8.245 Å and the angles 90.00°, 90.00° and 90.00°. The asymmetric unit holds K at (0.000, 0.000, 0.000), Tl at (0.500, 0.500, 0.301) and Ge at (0.000, 0.000, 0.500).

As for the mass density: 7.13 Mg/m³. The energy relative to the elements comes out at 0.05 eV/f.u. The total magnetic moment comes out at 0.00 μB/cell.

[15]
KTlGe3 | PBE | optimized geometry

The structure belongs to space group Pm-3m (No. 221); the cell edges are 5.534, 5.534 and 5.534 Å and the angles 90.00°, 90.00° and 90.00°. The asymmetric unit holds K at (0.000, 0.000, 0.000), Tl at (0.500, 0.500, 0.500) and Ge at (0.000, 0.500, 0.500).

As for the mass density: 4.52 Mg/m³. The energy relative to the elements comes out at 3.20 eV/f.u. The total magnetic moment comes out at 0.00 μB/cell.

[16]
KTlGe | PBE | optimized geometry

The structure belongs to space group Pnma (No. 62); the cell edges are 8.510, 5.067 and 8.292 Å and the angles 90.00°, 90.00° and 90.00°. The asymmetric unit holds K at (0.007, 0.250, 0.178), Tl at (0.166, 0.250, 0.590) and Ge at (0.176, 0.750, 0.405).

As for the mass density: 5.87 Mg/m³. The energy relative to the elements comes out at -0.06 eV/f.u. The total magnetic moment comes out at 0.00 μB/cell.

[17]
KTlGe | PBE | optimized geometry

The structure belongs to space group P6_3mc (No. 186); the cell edges are 5.0005, 5.0005 and 8.1554 Å and the angles 90.00°, 90.00° and 120.00°. The asymmetric unit holds K at (0.0000, 0.0000, 0.0000), Tl at (0.3333, 0.6667, 0.2884) and Ge at (0.3333, 0.6667, 0.6929).

As for the mass density: 5.94 Mg/m³. The energy relative to the elements comes out at 0.13 eV/f.u. The total magnetic moment comes out at 0.00 μB/cell.

[18]
KTl2Ge2 | PBE | optimized geometry

The structure belongs to space group I4/mmm (No. 139); the cell edges are 5.235, 5.235 and 10.746 Å and the angles 90.00°, 90.00° and 90.00°. The asymmetric unit holds K at (0.000, 0.000, 0.000), Tl at (0.000, 0.500, 0.250) and Ge at (0.000, 0.000, 0.383).

As for the mass density: 6.69 Mg/m³. The energy relative to the elements comes out at 0.01 eV/f.u. The total magnetic moment comes out at 0.00 μB/cell.

[19]
KTlGe | PBE | optimized geometry

The structure belongs to space group Cm (No. 8); the cell edges are 15.136, 4.101 and 7.563 Å and the angles 90.00°, 119.68° and 90.00°. The asymmetric unit holds K at (0.000, 0.000, 0.000), K at (0.164, 0.500, 0.645), Tl at (0.220, 0.500, 0.171), Tl at (0.350, 0.000, 0.559), Ge at (0.370, 0.000, 0.170) and Ge at (0.452, 0.500, 0.420).

As for the mass density: 5.15 Mg/m³. The energy relative to the elements comes out at -0.29 eV/f.u. The total magnetic moment comes out at 0.00 μB/cell.

[20]
KTlGe | PBE | optimized geometry

The structure belongs to space group Pm (No. 6); the cell edges are 7.072, 4.538 and 7.434 Å and the angles 90.00°, 116.17° and 90.00°. The asymmetric unit holds K at (0.000, 0.000, 0.000), K at (0.293, 0.000, 0.619), Tl at (0.600, 0.500, 0.059), Tl at (0.731, 0.000, 0.396), Ge at (0.372, 0.500, 0.307) and Ge at (0.693, 0.500, 0.628).

As for the mass density: 4.90 Mg/m³. The energy relative to the elements comes out at 0.06 eV/f.u. The total magnetic moment comes out at 0.00 μB/cell.